# 1
This record from the Alexandria database describes an optimized crystal structure of KDySeS. The functional is GGA-PBE.

Properties
Calculated volume: 337.3 Å³/cell
Energy relative to the elements, uncorrected: -7.17 eV per formula unit

Cell lengths 4.1065, 4.1065, 23.0992 Å; angles 90.00, 90.00, 120.00 degrees
Space group R3m (No. 160, hexagonal axes)
One atom of each set of equivalent atoms:
K 0.0000 0.0000 0.0000 x3
Dy 0.0000 0.0000 0.1645 x3
Se 0.0000 0.0000 0.5689 x3
S 0.0000 0.0000 0.7681 x3

# 2
This record from the Alexandria database describes an optimized crystal structure of K3Sm2DyS6. The functional is GGA-PBE.

Properties
Calculated volume: 649.0 Å³/cell
Energy relative to the elements, uncorrected: -22.48 eV per formula unit

Cell lengths 7.124, 12.338, 7.757 Å; angles 90.00, 107.83, 90.00 degrees
Space group C2/m (No. 12)
One atom of each set of equivalent atoms:
K 0.000 0.000 0.000 x2
K 0.000 0.333 0.000 x4
Sm 0.000 0.167 0.500 x4
Dy 0.000 0.500 0.500 x2
S 0.232 0.336 0.704 x8
S 0.240 0.000 0.704 x4

# 3
This record from the Alexandria database describes an optimized crystal structure of KSmDy4S8. The functional is GGA-PBE.

Properties
Calculated volume: 1190.8 Å³/cell
Energy relative to the elements, uncorrected: -27.02 eV per formula unit

Cell lengths 8.2145, 8.2145, 20.3780 Å; angles 90.00, 90.00, 120.00 degrees
Space group R3m (No. 160, hexagonal axes)
One atom of each set of equivalent atoms:
K 0.0000 0.0000 0.0000 x3
Sm 0.0000 0.0000 0.6317 x3
Dy 0.0000 0.0000 0.2525 x3
Dy 0.1725 0.3451 0.4591 x9
S 0.0000 0.0000 0.3844 x3
S 0.0000 0.0000 0.8599 x3
S 0.0408 0.5204 0.3848 x9
S 0.1751 0.3502 0.2069 x9

# 4
This record from the Alexandria database describes an optimized crystal structure of K2SmDyS4. The functional is GGA-PBE.

Properties
Calculated volume: 214.7 Å³/cell
Energy relative to the elements, uncorrected: -15.01 eV per formula unit

Cell lengths 7.098, 4.097, 7.750 Å; angles 90.00, 107.75, 90.00 degrees
Space group P2/m (No. 10)
One atom of each set of equivalent atoms:
K 0.000 0.000 0.000 x1
K 0.500 0.500 0.000 x1
Sm 0.000 0.500 0.500 x1
Dy 0.500 0.000 0.500 x1
S 0.240 0.000 0.704 x2
S 0.271 0.500 0.298 x2

# 5
This record from the Alexandria database describes an optimized crystal structure of K3Dy3SnS8. The functional is GGA-PBE.

Properties
Calculated volume: 1238.5 Å³/cell
Energy relative to the elements, uncorrected: -23.63 eV per formula unit

Cell lengths 7.9591, 7.9591, 22.5743 Å; angles 90.00, 90.00, 120.00 degrees
Space group R-3m (No. 166, hexagonal axes)
One atom of each set of equivalent atoms:
K 0.0000 0.5000 0.0000 x9
Dy 0.0000 0.5000 0.5000 x9
Sn 0.0000 0.0000 0.5000 x3
S 0.0000 0.0000 0.2330 x6
S 0.0156 0.5078 0.2315 x18

# 6
This record from the Alexandria database describes an optimized crystal structure of K3Dy2SnS6. The functional is GGA-PBE.

Properties
Calculated volume: 629.2 Å³/cell
Energy relative to the elements, uncorrected: -17.87 eV per formula unit

Cell lengths 7.030, 12.176, 7.715 Å; angles 90.00, 107.68, 90.00 degrees
Space group C2/m (No. 12)
One atom of each set of equivalent atoms:
K 0.000 0.000 0.000 x2
K 0.000 0.335 0.000 x4
Dy 0.000 0.167 0.500 x4
Sn 0.000 0.500 0.500 x2
S 0.233 0.000 0.701 x4
S 0.234 0.333 0.701 x8